(1)
! NdGe2Ru (GGA-PBE, optimized geometry); values from VASP
&SYSTEM
  ibrav = 0, nat = 16, ntyp = 3
/
ATOMIC_SPECIES
Ge 72.64 Ge.upf
Ru 101.07 Ru.upf
Nd 144.24 Nd.upf
ATOMIC_POSITIONS crystal
Ge 0.250 0.366 0.319
Ge 0.250 0.813 0.576
Ge 0.250 0.313 0.924
Ge 0.250 0.866 0.181
Ge 0.750 0.687 0.076
Ge 0.750 0.134 0.819
Ge 0.750 0.634 0.681
Ge 0.750 0.187 0.424
Ru 0.750 0.482 0.890
Ru 0.750 0.982 0.610
Ru 0.250 0.518 0.110
Ru 0.250 0.018 0.390
Nd 0.750 0.668 0.373
Nd 0.750 0.168 0.127
Nd 0.250 0.832 0.873
Nd 0.250 0.332 0.627
CELL_PARAMETERS angstrom
-0.750 -0.626 -4.206
4.677 -5.425 -0.027
-7.648 -6.607 2.347
! Calculated formation energy   -653.3 meV per atom
! Space group   Pnma, No. 62
! Energy   -6.47 eV/atom

(2)
! NdGe3Ru3 (GGA-PBE, optimized geometry); values from VASP
&SYSTEM
  ibrav = 0, nat = 14, ntyp = 3
/
ATOMIC_SPECIES
Nd 144.24 Nd.upf
Ge 72.64 Ge.upf
Ru 101.07 Ru.upf
ATOMIC_POSITIONS crystal
Nd 0.331 0.331 0.008
Nd 0.669 0.669 0.992
Ge 0.193 0.670 0.283
Ge 0.854 0.193 0.283
Ge 0.330 0.146 0.717
Ge 0.670 0.854 0.283
Ge 0.807 0.330 0.717
Ge 0.146 0.807 0.717
Ru 0.048 0.554 0.635
Ru 0.764 0.048 0.635
Ru 0.446 0.236 0.365
Ru 0.236 0.952 0.365
Ru 0.952 0.446 0.365
Ru 0.554 0.764 0.635
CELL_PARAMETERS angstrom
-2.519 -3.830 4.951
-3.502 -5.570 -1.493
3.923 -6.891 1.262
! Calculated formation energy   -205.8 meV per atom
! Space group   R-3, No. 148
! Distance to the lowest polymorph of the same formula   0.000 eV per atom
! Energy   -6.84 eV/atom

(3)
! NdGe2Ru4 (GGA-PBE, optimized geometry); values from VASP
&SYSTEM
  ibrav = 0, nat = 7, ntyp = 3
/
ATOMIC_SPECIES
Ge 72.64 Ge.upf
Ru 101.07 Ru.upf
Nd 144.24 Nd.upf
ATOMIC_POSITIONS crystal
Ge 0.500 0.588 0.176
Ge 0.500 0.412 0.824
Ru 0.000 0.307 0.615
Ru 0.000 0.693 0.385
Ru 0.500 0.191 0.382
Ru 0.500 0.809 0.618
Nd 0.000 0.000 0.000
CELL_PARAMETERS angstrom
4.017 0.000 0.000
0.000 4.057 0.000
0.000 -2.029 7.266
! Calculated formation energy   -416.1 meV per atom
! Space group   Cmmm, No. 65
! Energy   -7.72 eV/atom